# 1
# HfTcTe2

HfTcTe2 after structural relaxation (GGA-PBE, Alexandria).

a b c (Å): 6.872 6.872 6.872
angles (deg): 90.00 90.00 90.00
Space group Fm-3m (No. 225)
Unique sites:
Hf 0.000 0.000 0.000 x4
Tc 0.000 0.000 0.500 x4
Te 0.250 0.250 0.250 x8

Output
formation energy from raw total energies	0.01	eV per atom
calculated volume	81.1	Å³/f.u.
E_tot	-6.641	eV per atom

=====

# 2
# BaZr3Cr

BaZr3Cr after structural relaxation (GGA-PBE, Alexandria).

a b c (Å): 5.115 5.115 5.115
angles (deg): 90.00 90.00 90.00
Space group Pm-3m (No. 221)
Unique sites:
Ba 0.000 0.000 0.000 x1
Zr 0.000 0.500 0.500 x3
Cr 0.500 0.500 0.500 x1

Output
calculated volume	133.8	Å³/f.u.
E_tot	-6.871	eV per atom

=====

# 3
# Ac6TbSe8

Ac6TbSe8 after structural relaxation (GGA-PBE, Alexandria).

a b c (Å): 12.538 12.538 12.538
angles (deg): 90.00 90.00 90.00
Space group Fm-3m (No. 225)
Unique sites:
Ac 0.000 0.250 0.250 x24
Tb 0.000 0.000 0.000 x4
Se 0.000 0.000 0.236 x24
Se 0.250 0.250 0.250 x8

Output
formation energy from raw total energies	-1.90	eV per atom
calculated volume	492.8	Å³/f.u.
E_tot	-5.709	eV per atom

=====

# 4
# PmDyEr2Sc4

PmDyEr2Sc4 after structural relaxation (GGA-PBE, Alexandria).

a b c (Å): 13.021 12.673 6.503
angles (deg): 90.00 119.96 90.00
Space group C2/c (No. 15)
Unique sites:
Pm 0.250 0.250 0.000 x4
Dy 0.000 0.000 0.000 x4
Er 0.000 0.500 0.000 x4
Er 0.250 0.250 0.500 x4
Sc 0.000 0.251 0.001 x8
Sc 0.249 0.499 0.497 x8

Output
calculated volume	232.4	Å³/f.u.
E_tot	-5.050	eV per atom

=====

# 5
# ZnPt2Rh

ZnPt2Rh after structural relaxation (GGA-PBE, Alexandria).

a b c (Å): 6.226 6.226 6.226
angles (deg): 90.00 90.00 90.00
Space group F-43m (No. 216)
Unique sites:
Zn 0.000 0.000 0.000 x4
Pt 0.000 0.000 0.500 x4
Pt 0.250 0.250 0.250 x4
Rh 0.250 0.250 0.750 x4

Output
calculated volume	60.3	Å³/f.u.
E_tot	-5.304	eV per atom

=====

# 6
# I3OF

I3OF after structural relaxation (GGA-PBE, Alexandria).

a b c (Å): 4.936 4.936 4.936
angles (deg): 90.00 90.00 90.00
Space group Pm-3m (No. 221)
Unique sites:
I 0.000 0.000 0.500 x3
O 0.000 0.000 0.000 x1
F 0.500 0.500 0.500 x1

Output
formation energy from raw total energies	0.29	eV per atom
calculated volume	120.2	Å³/f.u.
E_tot	-2.005	eV per atom

=====

# 7
# Ca6Zn2Sn

Ca6Zn2Sn after structural relaxation (GGA-PBE, Alexandria).

a b c (Å): 10.162 10.303 10.626
angles (deg): 90.00 90.00 90.00
Space group Immm (No. 71)
Unique sites:
Ca 0.000 0.202 0.246 x8
Ca 0.212 0.500 0.175 x8
Ca 0.227 0.317 0.500 x8
Zn 0.000 0.364 0.000 x4
Zn 0.000 0.500 0.381 x4
Sn 0.000 0.000 0.000 x2
Sn 0.000 0.000 0.500 x2

Output
calculated volume	278.1	Å³/f.u.
E_tot	-2.378	eV per atom

=====

# 8
# Ce4Hg3Au2

Ce4Hg3Au2 after structural relaxation (GGA-PBE, Alexandria).

a b c (Å): 5.2316 5.2316 9.7157
angles (deg): 90.00 90.00 120.00
Space group P-3m1 (No. 164)
Unique sites:
Ce 0.0000 0.0000 0.1489 x2
Ce 0.3333 0.6667 0.3659 x2
Hg 0.0000 0.0000 0.5000 x1
Hg 0.3333 0.6667 0.0042 x2
Au 0.3333 0.6667 0.6808 x2

Output
calculated volume	230.3	Å³/f.u.
E_tot	-3.890	eV per atom

=====

# 9
# Sr2LiRh3

Sr2LiRh3 after structural relaxation (GGA-PBE, Alexandria).

a b c (Å): 5.5091 5.5091 13.5929
angles (deg): 90.00 90.00 120.00
Space group R-3m (No. 166, hexagonal axes)
Unique sites:
Sr 0.0000 0.0000 0.1207 x6
Li 0.0000 0.0000 0.5000 x3
Rh 0.0000 0.5000 0.0000 x9

Output
calculated volume	119.1	Å³/f.u.
E_tot	-4.791	eV per atom

=====

# 10
# Tm2ScCo3

Tm2ScCo3 after structural relaxation (GGA-PBE, Alexandria).

a b c (Å): 4.5699 4.5699 11.2087
angles (deg): 90.00 90.00 120.00
Space group P-3m1 (No. 164)
Unique sites:
Tm 0.0000 0.0000 0.0000 x1
Tm 0.0000 0.0000 0.5000 x1
Tm 0.3333 0.6667 0.1719 x2
Sc 0.3333 0.6667 0.6644 x2
Co 0.0000 0.0000 0.2551 x2
Co 0.3333 0.6667 0.4181 x2
Co 0.3333 0.6667 0.9118 x2

Output
calculated volume	101.4	Å³/f.u.
E_tot	-6.351	eV per atom

=====

# 11
# CsHg12Au4

CsHg12Au4 after structural relaxation (GGA-PBE, Alexandria).

a b c (Å): 10.036 10.036 10.036
angles (deg): 90.00 90.00 90.00
Space group Im-3 (No. 204)
Unique sites:
Cs 0.000 0.000 0.000 x2
Hg 0.000 0.349 0.159 x24
Au 0.250 0.250 0.250 x8

Output
calculated volume	505.5	Å³/f.u.
E_tot	-1.076	eV per atom

=====

# 12
# TbPm7Nd4

TbPm7Nd4 after structural relaxation (GGA-PBE, Alexandria).

a b c (Å): 16.443 6.070 9.408
angles (deg): 90.00 116.10 90.00
Space group C2/m (No. 12)
Unique sites:
Tb 0.000 0.000 0.000 x2
Pm 0.000 0.500 0.000 x2
Pm 0.081 0.000 0.436 x4
Pm 0.207 0.000 0.224 x4
Pm 0.210 0.000 0.876 x4
Nd 0.075 0.500 0.701 x4
Nd 0.174 0.500 0.388 x4

Output
calculated volume	421.6	Å³/f.u.
E_tot	-4.536	eV per atom

=====

Repeat the fifth record exactly.
# ZnPt2Rh

ZnPt2Rh after structural relaxation (GGA-PBE, Alexandria).

a b c (Å): 6.226 6.226 6.226
angles (deg): 90.00 90.00 90.00
Space group F-43m (No. 216)
Unique sites:
Zn 0.000 0.000 0.000 x4
Pt 0.000 0.000 0.500 x4
Pt 0.250 0.250 0.250 x4
Rh 0.250 0.250 0.750 x4

Output
calculated volume	60.3	Å³/f.u.
E_tot	-5.304	eV per atom